Density functional theory data (PBE) for Pm8TcRh3I4 after structural relaxation.

## Properties
**SG**: C2/m, No. 12
**Size of the total moment**: 0.0 μB per cell
**Crystal system**: monoclinic
**Energy relative to the elements, uncorrected**: -783.4 meV/atom

Cell: 8.287 8.287 9.443 Å, 116.13 116.13 59.89°
Element x y z (fractional)
Pm 0.226 0.226 0.688
Pm 0.226 0.736 0.688
Pm 0.264 0.774 0.312
Pm 0.273 0.273 0.318
Pm 0.727 0.727 0.682
Pm 0.736 0.226 0.688
Pm 0.774 0.264 0.312
Pm 0.774 0.774 0.312
Tc 0.000 0.000 0.500
Rh 0.000 0.500 0.500
Rh 0.500 0.000 0.500
Rh 0.500 0.500 0.500
I 0.000 0.000 0.000
I 0.000 0.500 0.000
I 0.500 0.000 0.000
I 0.500 0.500 0.000